VASP calculation (PBE-GGA) on Na2Ag2O5 after structural relaxation.

Cell lengths 4.215, 4.215, 7.620 Å; angles 90.00, 90.00, 90.00 degrees
Space group P4/mmm (No. 123)
Unique sites:
Na1 0.000 0.000 0.221 x2
Ag1 0.500 0.500 0.000 x1
Ag2 0.500 0.500 0.500 x1
O1 0.000 0.000 0.500 x1
O2 0.000 0.500 0.095 x4

Output
Total energy ... -3.80 eV/atom
Energy above the most stable polymorph in this dataset ... 98.3 meV/atom


VASP calculation (PBE-GGA) on Na2Ag2O5 after structural relaxation.

Cell lengths 3.907, 3.907, 8.071 Å; angles 90.00, 90.00, 90.00 degrees
Space group P4/mmm (No. 123)
Unique sites:
Na1 0.000 0.000 0.000 x1
Na2 0.000 0.000 0.500 x1
Ag1 0.500 0.500 0.244 x2
O1 0.000 0.500 0.186 x4
O2 0.500 0.500 0.500 x1

Output
Total energy ... -3.90 eV/atom
Energy above the most stable polymorph in this dataset ... 0.0 meV/atom


VASP calculation (PBE-GGA) on Na2AgO2 after structural relaxation.

Cell lengths 7.798, 3.258, 5.664 Å; angles 90.00, 102.74, 90.00 degrees
Space group C2/m (No. 12)
Unique sites:
Na1 0.168 0.000 0.166 x4
Ag1 0.000 0.500 0.500 x2
O1 0.111 0.000 0.744 x4

Output
Total energy ... -3.90 eV/atom


VASP calculation (PBE-GGA) on NaAgOsO3 after structural relaxation.

Cell lengths 11.708, 3.151, 8.277 Å; angles 90.00, 90.00, 90.00 degrees
Space group Pnma (No. 62)
Unique sites:
Na1 0.222 0.250 0.155 x4
Ag1 0.098 0.250 0.481 x4
Os1 0.031 0.250 0.878 x4
O1 0.040 0.250 0.240 x4
O2 0.118 0.750 0.991 x4
O3 0.153 0.250 0.724 x4

Output
Magnetization ... 0.002 μB/cell
Total energy ... -5.88 eV/atom


VASP calculation (PBE-GGA) on NaAg3Os4O12 after structural relaxation.

Cell lengths 7.649, 7.649, 7.649 Å; angles 90.00, 90.00, 90.00 degrees
Space group Im-3 (No. 204)
Unique sites:
Na1 0.000 0.000 0.000 x2
Ag1 0.000 0.000 0.500 x6
Os1 0.250 0.250 0.250 x8
O1 0.000 0.287 0.200 x24

Output
Magnetization ... 8.955 μB/cell
Total energy ... -6.41 eV/atom


VASP calculation (PBE-GGA) on NaAgPO after structural relaxation.

Cell lengths 4.176, 4.176, 9.075 Å; angles 90.00, 90.00, 90.00 degrees
Space group P4/nmm (No. 129, origin choice 2)
Unique sites:
Na1 0.250 0.750 0.000 x2
Ag1 0.250 0.250 0.236 x2
P1 0.250 0.250 0.512 x2
O1 0.250 0.750 0.500 x2

Output
Total energy ... -3.45 eV/atom
Energy above the most stable polymorph in this dataset ... 416.7 meV/atom


VASP calculation (PBE-GGA) on NaAg2PO4 after structural relaxation.

Cell lengths 5.984, 5.984, 5.997 Å; angles 90.00, 90.00, 90.00 degrees
Space group I-42m (No. 121)
Unique sites:
Na1 0.000 0.000 0.000 x2
Ag1 0.000 0.500 0.250 x4
P1 0.000 0.000 0.500 x2
O1 0.150 0.150 0.652 x8

Output
Total energy ... -5.44 eV/atom


VASP calculation (PBE-GGA) on NaAgPO after structural relaxation.

Cell lengths 3.499, 7.372, 4.911 Å; angles 90.00, 90.00, 90.00 degrees
Space group Pmc2_1 (No. 26)
Unique sites:
Na1 0.000 0.119 0.000 x2
Ag1 0.500 0.254 0.499 x2
P1 0.000 0.477 0.614 x2
O1 0.500 0.006 0.257 x2

Output
Total energy ... -3.87 eV/atom
Energy above the most stable polymorph in this dataset ... 0.0 meV/atom